Below is crystalline Ba2NiMoO6 at its relaxed geometry, with properties calculated at the PBE with a Hubbard U level.

Output
The calculation puts the final energy at -258.12 eV per cell. The magnetization is 8.0 μB per cell.

Unit cell a=8.1772 b=8.1772 c=8.1772 alpha=90.00 beta=90.00 gamma=90.00
Space group Fm-3m (No. 225)
One atom of each set of equivalent atoms:
Ba (0.2500, 0.2500, 0.2500) (multiplicity 8)
Ni (0.0000, 0.0000, 0.0000) (multiplicity 4)
Mo (0.0000, 0.0000, 0.5000) (multiplicity 4)
O (0.0000, 0.0000, 0.2605) (multiplicity 24)